The following is a DFT calculation (GGA-PBE) of a geometry-optimized NbHCl3 structure.

Calculated values
Density (Mg/m³): 2.5
Calculated volume (Å³/atom): 26.23
Size of the total moment (μB/f.u.): 0.32
E_tot (eV per atom): -4.48

```
data_NbHCl3
_chemical_formula_sum 'Nb4 H4 Cl12'
_symmetry_space_group_name_H-M 'C 1 2/m 1'
_symmetry_Int_Tables_number 12
_symmetry_space_group_name_Hall '-C 2y'
_cell_length_a 15.2053
_cell_length_b 3.0987
_cell_length_c 11.1596
_cell_angle_alpha 90.00
_cell_angle_beta 93.73
_cell_angle_gamma 90.00
loop_
_atom_site_label
_atom_site_fract_x
_atom_site_fract_y
_atom_site_fract_z
Nb1 0.0785 0.0000 0.4690
H1 0.1108 0.5000 0.9199
Cl1 0.0790 0.5000 0.2978
Cl2 0.1295 0.0000 0.9516
Cl3 0.1578 0.5000 0.6097
```